This record from Alexandria describes an optimized crystal structure of K2YAs. The functional is PBE.

ΔH_f (0 K): 158 meV/atom
size of the total moment: 1.67 Bohr magnetons per cell
DOS(E_F): 3.75 states/eV/cell
space group: No. 119

Structure (POSCAR):
```
K2YAs
1.0
5.8456 -0.0143 0.0000
1.1629 5.7288 0.0000
-3.5043 -2.8573 3.7051
Y K As
1 2 1
Cartesian
3.5043 2.8573 0.0000
0.5815 2.8644 1.8525
0.0000 0.0000 0.0000
2.9228 -0.0071 1.8525
```